First-principles (GGA-PBE) data for crystalline CaPr4Pb4 at its relaxed geometry, as listed in Alexandria via LeMat-Bulk.

The structure belongs to space group P4_2/n (No. 86, origin choice 2); the cell edges are 10.0074, 10.0074 and 6.5411 Å and the angles 90.00°, 90.00° and 90.00°. The inequivalent atoms are Ca at (0.2500, 0.2500, 0.2500), Pr at (0.0678, 0.6585, 0.1260) and Pb at (0.0226, 0.6308, 0.6251).

The electronic total energy comes out at -4.33 eV/atom. The calculation puts the calculated density at 7.262 g cm⁻³.